[1]
Below is crystalline ZrAs2Se at its relaxed geometry, with properties calculated at the PBE level.

Cell lengths 3.616, 3.616, 6.162 Å; angles 90.00, 90.00, 90.00 degrees
Positions (direct):
Zr  0.000  0.000  0.000
As  0.500  0.500  0.210
As  0.500  0.500  0.790
Se  0.000  0.000  0.500

Computed properties:
Space group: P4/mmm, No. 123
ΔE_f (raw): -0.396 eV per atom

***

[2]
Below is crystalline CuPdI2O at its relaxed geometry, with properties calculated at the PBE level.

Cell lengths 5.604, 5.604, 3.517 Å; angles 90.00, 90.00, 90.00 degrees
Positions (direct):
Cu  0.000  0.000  0.000
Pd  0.500  0.500  0.500
I  0.000  0.500  0.000
I  0.500  0.000  0.000
O  0.000  0.000  0.500

Computed properties:
Relative energy among the computed polymorphs: 0 meV per atom
Space group: P4/mmm, No. 123
ΔE_f (raw): 0.251 eV per atom

***

[3]
Below is crystalline ScCrMo2 at its relaxed geometry, with properties calculated at the PBE level.

Cell lengths 3.109, 4.557, 8.970 Å; angles 90.00, 90.00, 90.00 degrees
Positions (direct):
Sc  0.000  0.000  0.000
Sc  0.500  0.500  0.500
Cr  0.000  0.000  0.500
Cr  0.500  0.500  0.000
Mo  0.000  0.500  0.233
Mo  0.000  0.500  0.767
Mo  0.500  0.000  0.267
Mo  0.500  0.000  0.733

Computed properties:
Relative energy among the computed polymorphs: 0 meV per atom
Space group: Immm, No. 71
E_form: 0.12 eV/atom

***

[4]
Below is crystalline CoAgGe3 at its relaxed geometry, with properties calculated at the PBE level.

Cell lengths 4.575, 4.575, 4.575 Å; angles 90.00, 90.00, 90.00 degrees
Positions (direct):
Co  0.000  0.000  0.000
Ag  0.500  0.500  0.500
Ge  0.000  0.000  0.500
Ge  0.000  0.500  0.000
Ge  0.500  0.000  0.000

Computed properties:
Relative energy among the computed polymorphs: 0 meV per atom
Space group: Pm-3m, No. 221
E_form: 0.27 eV/atom

***

Copy entry 1 word for word.
Below is crystalline ZrAs2Se at its relaxed geometry, with properties calculated at the PBE level.

Cell lengths 3.616, 3.616, 6.162 Å; angles 90.00, 90.00, 90.00 degrees
Positions (direct):
Zr  0.000  0.000  0.000
As  0.500  0.500  0.210
As  0.500  0.500  0.790
Se  0.000  0.000  0.500

Computed properties:
Space group: P4/mmm, No. 123
ΔE_f (raw): -0.396 eV per atom